Record 1
ThInAg | PBE-GGA | optimized geometry

Results
calculated total energy = -4.5778 eV per atom

a = 4.8755 Å, b = 6.1958 Å, c = 6.0334 Å
α = 73.15°, β = 66.17°, γ = 66.83°
Positions (direct):
Th 0.5263 0.2131 0.7344
Th 0.4737 0.7869 0.2656
In 0.1672 0.3687 0.2970
In 0.8328 0.6313 0.7030
Ag 0.8361 0.2047 0.1230
Ag 0.1639 0.7953 0.8770

Record 2
ThIn2Ag3 | PBE-GGA | optimized geometry

Results
calculated total energy = -3.7313 eV per atom

a = 4.6883 Å, b = 6.9021 Å, c = 8.9790 Å
α = 104.62°, β = 105.13°, γ = 90.00°
Positions (direct):
Th 0.1180 0.1523 0.2360
Th 0.8820 0.8477 0.7640
In 0.5175 0.7993 0.0349
In 0.4825 0.2007 0.9651
In 0.2330 0.6668 0.4659
In 0.7670 0.3332 0.5341
Ag 0.6949 0.9162 0.3898
Ag 0.0703 0.6592 0.1407
Ag 0.3687 0.5077 0.7374
Ag 0.6313 0.4923 0.2626
Ag 0.9297 0.3408 0.8593
Ag 0.3051 0.0838 0.6102

Record 3
Th2In3Ag | PBE-GGA | optimized geometry

Results
calculated total energy = -4.6019 eV per atom
offset from the most stable computed form = 0 kJ/mol of formula units

a = 3.6268 Å, b = 5.0033 Å, c = 8.6376 Å
α = 90.00°, β = 90.00°, γ = 90.00°
Positions (direct):
Th 0.0000 0.5000 0.0051
Th 0.0000 0.0000 0.4970
In 0.5000 0.0000 0.8343
In 0.5000 0.0000 0.1739
In 0.5000 0.5000 0.6585
Ag 0.5000 0.5000 0.3312

Record 4
Th2In3Ag2 | PBE-GGA | optimized geometry

Results
calculated total energy = -4.3421 eV per atom

a = 4.7554 Å, b = 7.4022 Å, c = 10.4395 Å
α = 90.00°, β = 103.17°, γ = 90.00°
Positions (direct):
Th 0.1576 0.2500 0.3151
Th 0.8424 0.7500 0.6849
Th 0.9604 0.2500 0.9208
Th 0.0396 0.7500 0.0792
In 0.2103 0.7500 0.4206
In 0.7897 0.2500 0.5794
In 0.5665 0.4444 0.1330
In 0.4335 0.5556 0.8670
In 0.4335 0.9444 0.8670
In 0.5665 0.0556 0.1330
Ag 0.6979 0.9536 0.3959
Ag 0.3021 0.0464 0.6041
Ag 0.3021 0.4536 0.6041
Ag 0.6979 0.5464 0.3959

Record 5
ThInAg2 | PBE-GGA | optimized geometry

Results
calculated total energy = -4.0253 eV per atom
offset from the most stable computed form = 60 kJ/mol of formula units

a = 3.3995 Å, b = 3.3995 Å, c = 7.9961 Å
α = 90.00°, β = 90.00°, γ = 90.00°
Positions (direct):
Ag 0.0000 0.0000 0.7743
Ag 0.0000 0.0000 0.2257
Th 0.5000 0.5000 0.5000
In 0.5000 0.5000 0.0000

Record 6
Th6InAg | PBE-GGA | optimized geometry

Results
calculated total energy = -6.2862 eV per atom

a = 9.6400 Å, b = 9.6400 Å, c = 9.6400 Å
α = 148.52°, β = 148.52°, γ = 45.12°
Positions (direct):
Th 0.2500 0.2500 0.0000
Th 0.8846 0.3846 0.5000
Th 0.3846 0.8846 0.5000
Th 0.1154 0.6154 0.5000
Th 0.7500 0.7500 0.0000
Th 0.6154 0.1154 0.5000
In 0.5000 0.5000 0.0000
Ag 0.0000 0.0000 0.0000

Record 7
Th2InAg | PBE-GGA | optimized geometry

Results
calculated total energy = -4.9078 eV per atom

a = 3.3897 Å, b = 3.3897 Å, c = 11.9727 Å
α = 81.86°, β = 81.86°, γ = 60.00°
Positions (direct):
Ag 0.5000 0.5000 0.5000
Th 0.0935 0.0935 0.7196
Th 0.9065 0.9065 0.2804
In 0.0000 0.0000 0.0000

Record 8
Th4In5Ag2 | PBE-GGA | optimized geometry

Results
calculated total energy = -4.7205 eV per atom

a = 3.3606 Å, b = 8.1699 Å, c = 10.6313 Å
α = 94.08°, β = 90.00°, γ = 90.00°
Positions (direct):
Th 0.5000 0.7271 0.5523
Th 0.5000 0.1617 0.8816
Th 0.5000 0.2729 0.4477
Th 0.5000 0.8383 0.1184
In 0.0000 0.5665 0.2938
In 0.0000 0.2010 0.1662
In 0.0000 0.5000 0.0000
In 0.0000 0.7990 0.8338
In 0.0000 0.4335 0.7062
Ag 0.0000 0.0540 0.6337
Ag 0.0000 0.9460 0.3663

Record 9
ThInAg3 | PBE-GGA | optimized geometry

Results
calculated total energy = -3.8266 eV per atom

a = 4.8963 Å, b = 3.3412 Å, c = 14.0194 Å
α = 96.84°, β = 90.00°, γ = 90.00°
Positions (direct):
Th 0.2500 0.0762 0.1525
Th 0.7500 0.9238 0.8475
In 0.2500 0.7857 0.5713
In 0.7500 0.2143 0.4287
Ag 0.2500 0.3727 0.7454
Ag 0.7500 0.6273 0.2546
Ag 0.2500 0.4744 0.9488
Ag 0.7500 0.5256 0.0512
Ag 0.7500 0.3184 0.6368
Ag 0.2500 0.6816 0.3632

Record 10
ThTlInAg | PBE-GGA | optimized geometry

Results
calculated total energy = -3.8888 eV per atom

a = 5.2451 Å, b = 5.2451 Å, c = 5.2451 Å
α = 60.00°, β = 60.00°, γ = 60.00°
Positions (direct):
Tl 0.7500 0.7500 0.7500
Ag 0.2500 0.2500 0.2500
Th 0.0000 0.0000 0.0000
In 0.5000 0.5000 0.5000

Record 11
YTh2In2Ag2 | PBE-GGA | optimized geometry

Results
calculated total energy = -4.7813 eV per atom

a = 4.8616 Å, b = 4.8616 Å, c = 9.4185 Å
α = 75.04°, β = 75.04°, γ = 60.00°
Positions (direct):
Y 0.0000 0.0000 0.0000
Th 0.1290 0.1290 0.6130
Th 0.8710 0.8710 0.3870
In 0.7329 0.7329 0.8013
In 0.2671 0.2671 0.1987
Ag 0.6050 0.6050 0.1849
Ag 0.3950 0.3950 0.8151

Record 12
ThZnInAg | PBE-GGA | optimized geometry

Results
calculated total energy = -3.7809 eV per atom

a = 5.0342 Å, b = 5.0342 Å, c = 5.0342 Å
α = 60.00°, β = 60.00°, γ = 60.00°
Positions (direct):
Zn 0.7500 0.7500 0.7500
Ag 0.2500 0.2500 0.2500
Th 0.0000 0.0000 0.0000
In 0.5000 0.5000 0.5000

Record 13
TiIn2Ag | PBE-GGA | optimized geometry

Results
calculated total energy = -3.8081 eV per atom
offset from the most stable computed form = 128 kJ/mol of formula units

a = 7.6403 Å, b = 7.6403 Å, c = 6.1887 Å
α = 51.88°, β = 51.88°, γ = 90.00°
Positions (direct):
Ti 0.5000 0.5000 0.0000
Ti 0.2500 0.7500 0.5000
Ag 0.0000 0.0000 0.0000
Ag 0.7500 0.2500 0.5000
In 0.6365 0.1250 0.2500
In 0.1135 0.6250 0.2500
In 0.3750 0.3635 0.7500
In 0.8750 0.8865 0.7500

Record 14
TiInAg2 | PBE-GGA | optimized geometry

Results
calculated total energy = -3.7780 eV per atom

a = 2.9302 Å, b = 2.9302 Å, c = 10.8704 Å
α = 82.25°, β = 82.25°, γ = 60.00°
Positions (direct):
Ti 0.0000 0.0000 0.0000
Ag 0.0834 0.0834 0.7498
Ag 0.9166 0.9166 0.2502
In 0.5000 0.5000 0.5000

Record 15
Ti12In3Ag | PBE-GGA | optimized geometry

Results
calculated total energy = -6.6803 eV per atom

a = 4.1439 Å, b = 4.1439 Å, c = 16.5565 Å
α = 90.00°, β = 90.00°, γ = 90.00°
Positions (direct):
Ti 0.5000 0.5000 0.0000
Ti 0.5000 0.5000 0.2467
Ti 0.5000 0.5000 0.5000
Ti 0.5000 0.5000 0.7533
Ti 0.5000 0.0000 0.1222
Ti 0.5000 0.0000 0.3743
Ti 0.5000 0.0000 0.6257
Ti 0.5000 0.0000 0.8778
Ti 0.0000 0.5000 0.1222
Ti 0.0000 0.5000 0.3743
Ti 0.0000 0.5000 0.6257
Ti 0.0000 0.5000 0.8778
In 0.0000 0.0000 0.2474
In 0.0000 0.0000 0.5000
In 0.0000 0.0000 0.7526
Ag 0.0000 0.0000 0.0000

Record 16
Ti4In5Ag | PBE-GGA | optimized geometry

Results
calculated total energy = -4.9260 eV per atom

a = 3.0294 Å, b = 3.0294 Å, c = 21.1101 Å
α = 90.00°, β = 90.00°, γ = 90.00°
Positions (direct):
Ti 0.0000 0.0000 0.2015
Ti 0.0000 0.0000 0.4000
Ti 0.0000 0.0000 0.6000
Ti 0.0000 0.0000 0.7985
In 0.5000 0.5000 0.1032
In 0.5000 0.5000 0.3011
In 0.5000 0.5000 0.5000
In 0.5000 0.5000 0.6989
In 0.5000 0.5000 0.8968
Ag 0.0000 0.0000 0.0000

Record 17
Ti4In3Ag | PBE-GGA | optimized geometry

Results
calculated total energy = -5.4274 eV per atom

a = 4.1951 Å, b = 4.1950 Å, c = 8.9796 Å
α = 103.51°, β = 103.51°, γ = 90.00°
Positions (direct):
In 0.0000 0.5000 0.0000
In 0.7496 0.2497 0.4993
In 0.2504 0.7503 0.5007
Ag 0.5000 0.0000 0.0000
Ti 0.3767 0.3767 0.7534
Ti 0.6233 0.6233 0.2466
Ti 0.1233 0.1234 0.2466
Ti 0.8767 0.8766 0.7534

Record 18
TiInAg2 | PBE-GGA | optimized geometry

Results
calculated total energy = -3.9115 eV per atom

a = 4.6389 Å, b = 4.6389 Å, c = 8.3139 Å
α = 90.00°, β = 90.00°, γ = 118.24°
Positions (direct):
Ti 0.0000 0.0000 0.0000
Ti 0.0000 0.0000 0.5000
In 0.3140 0.6860 0.7500
In 0.6860 0.3140 0.2500
Ag 0.3405 0.6595 0.0880
Ag 0.6595 0.3405 0.5880
Ag 0.6595 0.3405 0.9120
Ag 0.3405 0.6595 0.4120

Record 19
TiInAg2 | PBE-GGA | optimized geometry

Results
calculated total energy = -4.0413 eV per atom

a = 4.2986 Å, b = 4.1954 Å, c = 4.1954 Å
α = 90.00°, β = 90.00°, γ = 90.00°
Positions (direct):
Ti 0.5000 0.5000 0.5000
Ag 0.0000 0.0000 0.5000
Ag 0.0000 0.5000 0.0000
In 0.5000 0.0000 0.0000

Record 20
Ti2In4Ag | PBE-GGA | optimized geometry

Results
calculated total energy = -4.2539 eV per atom

a = 5.8560 Å, b = 5.8560 Å, c = 5.8560 Å
α = 114.55°, β = 106.99°, γ = 106.99°
Positions (direct):
Ti 0.5000 0.5000 0.0000
Ti 0.5000 0.0000 0.5000
In 0.5000 0.0000 0.0000
In 0.5000 0.5000 0.5000
In 0.0000 0.0000 0.5000
In 0.0000 0.5000 0.0000
Ag 0.0000 0.0000 0.0000

Magnetization across the listed records, respectively: 0.000 0.000 0.000 0.000 0.000 0.000 0.000 0.000 0.000 0.000 0.000 0.000 0.135 0.000 0.000 0.000 0.001 0.281 0.346 0.000 μB/atom.
Formation energy from the elements across the listed records, respectively: -0.2413 -0.1562 -0.2842 -0.2339 -0.0601 -0.0226 0.1995 -0.2593 -0.0842 -0.0448 -0.1408 -0.2100 0.2477 0.3060 -0.0674 -0.1137 -0.0966 0.1724 0.0427 -0.0261 eV/atom.
DOS at the Fermi energy across the listed records, respectively: 0.792 0.432 0.429 0.571 0.551 1.425 0.762 0.545 0.570 1.234 0.661 0.499 0.946 0.604 1.195 0.640 1.299 0.837 0.888 0.841 states/eV per atom.